Entry 1:
# SrZrUSe6 | Alexandria | PBE | relaxed
data_SrZrUSe6
_chemical_formula_sum 'Sr2 Zr2 U2 Se12'
_cell_length_a 6.9462
_cell_length_b 6.9462
_cell_length_c 13.4130
_cell_angle_alpha 90.00
_cell_angle_beta 90.00
_cell_angle_gamma 120.00
_symmetry_space_group_name_H-M 'P -3 1 c'
_symmetry_Int_Tables_number 163
_symmetry_space_group_name_Hall '-P 3 2c'
loop_
_atom_site_label
_atom_site_type_symbol
_atom_site_fract_x
_atom_site_fract_y
_atom_site_fract_z
Sr1 Sr 0.0000 0.0000 0.0000
Zr1 Zr 0.3333 0.6667 0.2500
U1 U 0.3333 0.6667 0.7500
Se1 Se 0.9995 0.3747 0.1320
# **Energy relative to the elements, uncorrected**: -11.5 eV/f.u.
# **Energy**: -5.99 eV/atom
# **Total moment**: 0.00 μB per formula unit

=====

Entry 2:
# Sr2VSe | Alexandria | PBE | relaxed
data_Sr2VSe
_chemical_formula_sum 'Sr8 V4 Se4'
_cell_length_a 8.582
_cell_length_b 8.582
_cell_length_c 7.795
_cell_angle_alpha 90.00
_cell_angle_beta 90.00
_cell_angle_gamma 90.00
_symmetry_space_group_name_H-M 'I -4 2 d'
_symmetry_Int_Tables_number 122
_symmetry_space_group_name_Hall 'I -4 2bw'
loop_
_atom_site_label
_atom_site_type_symbol
_atom_site_fract_x
_atom_site_fract_y
_atom_site_fract_z
Sr1 Sr 0.213 0.250 0.125
V1 V 0.000 0.000 0.500
Se1 Se 0.000 0.000 0.000
# **Energy relative to the elements, uncorrected**: -0.1 eV/f.u.
# **Energy**: -4.03 eV/atom
# **Total moment**: 4.92 μB per formula unit

=====

Q: Which of these has the highest energy relative to the elements, uncorrected?
A: Sr2VSe

=====

Q: energy of number 2 (Sr2VSe)?
A: -4.03 eV/atom

=====

Copy entry 1 word for word.
# SrZrUSe6 | Alexandria | PBE | relaxed
data_SrZrUSe6
_chemical_formula_sum 'Sr2 Zr2 U2 Se12'
_cell_length_a 6.9462
_cell_length_b 6.9462
_cell_length_c 13.4130
_cell_angle_alpha 90.00
_cell_angle_beta 90.00
_cell_angle_gamma 120.00
_symmetry_space_group_name_H-M 'P -3 1 c'
_symmetry_Int_Tables_number 163
_symmetry_space_group_name_Hall '-P 3 2c'
loop_
_atom_site_label
_atom_site_type_symbol
_atom_site_fract_x
_atom_site_fract_y
_atom_site_fract_z
Sr1 Sr 0.0000 0.0000 0.0000
Zr1 Zr 0.3333 0.6667 0.2500
U1 U 0.3333 0.6667 0.7500
Se1 Se 0.9995 0.3747 0.1320
# **Energy relative to the elements, uncorrected**: -11.5 eV/f.u.
# **Energy**: -5.99 eV/atom
# **Total moment**: 0.00 μB per formula unit

=====

Q: Which value of energy does entry 2 give?
A: -4.03 eV/atom